No. 1
The following is a DFT calculation (PBE) of La9Dy4Tl11 after structural relaxation.

- Calculated density: 9432 kg/m3
- Total energy: -4.03 eV per atom
- Space group: Cmmm (65)

The structure in extended XYZ format:
```
24
Lattice="8.9924 -11.3953 0.0000 8.9924 11.3953 0.0000 0.0000 0.0000 3.5638" Properties=species:S:1:pos:R:3 pbc="T T T"
La 0.0000 0.0000 0.0000
La 6.9506 5.7928 0.0000
La 6.6696 1.8830 0.0000
La 11.0342 5.7928 0.0000
La 6.6696 -1.8830 0.0000
La 11.3152 1.8830 0.0000
La 6.9506 -5.7928 0.0000
La 11.3152 -1.8830 0.0000
La 11.0342 -5.7928 0.0000
Dy 2.6505 2.1253 0.0000
Dy 2.6505 -2.1253 0.0000
Dy 15.3343 2.1253 0.0000
Dy 15.3343 -2.1253 0.0000
Tl 4.5592 4.0497 1.7819
Tl 8.9924 8.3469 1.7819
Tl 4.3200 0.0000 1.7819
Tl 8.9924 3.6566 1.7819
Tl 4.5592 -4.0497 1.7819
Tl 8.9924 0.0000 1.7819
Tl 13.4256 4.0497 1.7819
Tl 8.9924 -3.6566 1.7819
Tl 13.6648 0.0000 1.7819
Tl 8.9924 -8.3469 1.7819
Tl 13.4256 -4.0497 1.7819
```

***

No. 2
The following is a DFT calculation (PBE) of YZrAs2 after structural relaxation.

- Calculated density: 6372 kg/m3
- Relative energy among the computed polymorphs: 414 meV per atom
- Space group: C2/m (12)

The structure in extended XYZ format:
```
8
Lattice="6.9544 0.0000 0.0000 0.0000 7.4326 0.0000 -0.8759 0.0000 3.3272" Properties=species:S:1:pos:R:3 pbc="T T T"
Y 0.0000 0.0000 0.0000
Y 3.4772 3.7163 0.0000
Zr 0.0000 3.7163 0.0000
Zr 3.4772 0.0000 0.0000
As 1.3007 1.8581 1.6636
As 1.3007 5.5744 1.6636
As 4.7778 1.8581 1.6636
As 4.7778 5.5744 1.6636
```

***

No. 3
The following is a DFT calculation (PBE) of CaSmZnCo after structural relaxation.

- Calculated density: 5982 kg/m3
- Total energy: -3.78 eV per atom
- Space group: F-43m (216)

The structure in extended XYZ format:
```
16
Lattice="7.0441 0.0000 0.0000 0.0000 7.0441 0.0000 0.0000 0.0000 7.0441" Properties=species:S:1:pos:R:3 pbc="T T T"
Ca 0.0000 0.0000 0.0000
Ca 0.0000 3.5221 3.5221
Ca 3.5221 0.0000 3.5221
Ca 3.5221 3.5221 0.0000
Sm 0.0000 0.0000 3.5221
Sm 0.0000 3.5221 0.0000
Sm 3.5221 0.0000 0.0000
Sm 3.5221 3.5221 3.5221
Zn 1.7610 1.7610 1.7610
Zn 1.7610 5.2831 5.2831
Zn 5.2831 1.7610 5.2831
Zn 5.2831 5.2831 1.7610
Co 1.7610 1.7610 5.2831
Co 1.7610 5.2831 1.7610
Co 5.2831 1.7610 1.7610
Co 5.2831 5.2831 5.2831
```

***

No. 4
The following is a DFT calculation (PBE) of Ta2Nb6Os after structural relaxation.

- Calculated density: 9787 kg/m3
- Total energy: -9.95 eV per atom
- Space group: C2/m (12)

The structure in extended XYZ format:
```
9
Lattice="7.0593 -3.1606 0.0000 7.0593 3.1606 0.0000 -1.3889 0.0000 4.2186" Properties=species:S:1:pos:R:3 pbc="T T T"
Ta 2.1050 0.0000 0.6932
Ta 10.6247 0.0000 3.5254
Nb 4.2785 1.5552 1.4226
Nb 7.0593 1.5476 0.0000
Nb 8.4512 1.5552 2.7960
Nb 4.2785 -1.5552 1.4226
Nb 7.0593 -1.5476 0.0000
Nb 8.4512 -1.5552 2.7960
Os 6.3648 0.0000 2.1093
```

***

No. 5
The following is a DFT calculation (PBE) of HfMgSc2N4 after structural relaxation.

- Calculated density: 6350 kg/m3
- Formation energy from raw total energies: -1670 meV per atom
- Space group: P2/m (10)

The structure in extended XYZ format:
```
8
Lattice="5.4889 0.0000 0.0000 0.0000 3.1949 0.0000 -1.8010 0.0000 5.2000" Properties=species:S:1:pos:R:3 pbc="T T T"
Hf 0.0000 0.0000 0.0000
Mg 2.7445 1.5975 0.0000
Sc -0.9005 1.5975 2.6000
Sc 1.8440 0.0000 2.6000
N -0.0215 0.0000 3.8923
N 0.8924 1.5975 1.2789
N 2.7955 1.5975 3.9211
N 3.7094 0.0000 1.3077
```

***

No. 6
The following is a DFT calculation (PBE) of LiInBH2 after structural relaxation.

- Calculated density: 3801 kg/m3
- Total energy: -2.82 eV per atom
- Space group: P4/mmm (123)

The structure in extended XYZ format:
```
5
Lattice="3.5403 0.0000 0.0000 0.0000 3.5403 0.0000 0.0000 0.0000 4.6913" Properties=species:S:1:pos:R:3 pbc="T T T"
Li 0.0000 0.0000 0.0000
In 1.7702 1.7702 0.0000
B 1.7702 1.7702 2.3457
H 0.0000 1.7702 2.3457
H 1.7702 0.0000 2.3457
```

***

No. 7
The following is a DFT calculation (PBE) of SnBi3Se6 after structural relaxation.

- Calculated density: 6688 kg/m3
- Relative energy among the computed polymorphs: 0 meV per atom
- Formation energy from raw total energies: -326 meV per atom
- Space group: P2_1/m (11)

The structure in extended XYZ format:
```
20
Lattice="11.8404 0.0000 0.0000 0.0000 4.1360 0.0000 -3.5585 0.0000 12.3642" Properties=species:S:1:pos:R:3 pbc="T T T"
Sn 0.3454 1.0340 5.8039
Sn 7.9365 3.1020 6.5603
Bi -2.4152 3.1020 10.2102
Bi 0.7840 1.0340 11.6278
Bi 3.7713 3.1020 4.3546
Bi 4.5106 1.0340 8.0096
Bi 7.4978 3.1020 0.7364
Bi 10.6971 1.0340 2.1540
Se -1.2544 3.1020 4.6824
Se -2.1083 1.0340 12.1188
Se 1.9668 1.0340 3.5161
Se 0.2683 3.1020 9.5885
Se 2.4656 3.1020 6.8778
Se 4.6520 3.1020 1.3495
Se 3.6298 1.0340 11.0147
Se 5.8163 1.0340 5.4864
Se 8.0136 1.0340 2.7758
Se 6.3150 3.1020 8.8481
Se 10.3902 3.1020 0.2454
Se 9.5363 1.0340 7.6819
```

***

No. 8
The following is a DFT calculation (PBE) of LiCe2TlS4 after structural relaxation.

- Calculated density: 5022 kg/m3
- Formation energy from raw total energies: -1564 meV per atom
- Space group: Cmcm (63)

The structure in extended XYZ format:
```
16
Lattice="2.0754 -6.9187 0.0000 2.0754 6.9187 0.0000 0.0000 0.0000 14.2724" Properties=species:S:1:pos:R:3 pbc="T T T"
Li 2.0754 4.5822 10.7043
Li 2.0754 -4.5822 3.5681
Ce 2.0754 1.8209 0.8343
Ce 2.0754 1.8209 6.3019
Ce 2.0754 -1.8209 7.9705
Ce 2.0754 -1.8209 13.4381
Tl 2.0754 5.5244 3.5681
Tl 2.0754 -5.5244 10.7043
S 0.0000 0.0000 0.0000
S 0.0000 0.0000 7.1362
S 2.0754 3.3235 8.6726
S 2.0754 3.3235 12.7359
S 2.0754 1.0562 3.5681
S 2.0754 -1.0562 10.7043
S 2.0754 -3.3235 1.5364
S 2.0754 -3.3235 5.5998
```

***

No. 9
The following is a DFT calculation (PBE) of BaSn2GeI8 after structural relaxation.

- Calculated density: 4482 kg/m3
- Formation energy from raw total energies: -726 meV per atom
- Space group: P2/m (10)

The structure in extended XYZ format:
```
12
Lattice="7.3390 0.0000 0.0000 0.0000 9.5562 0.0000 -0.0799 0.0000 7.7260" Properties=species:S:1:pos:R:3 pbc="T T T"
Ba 0.0000 0.0000 0.0000
Sn 3.6296 2.5306 3.8630
Sn 3.6296 7.0257 3.8630
Ge 0.0000 4.7781 0.0000
I 1.7801 2.6735 1.2379
I 1.7390 4.7781 5.2024
I 1.7801 6.8827 1.2379
I 1.9376 0.0000 4.9281
I 5.3215 0.0000 2.7980
I 5.4790 2.6735 6.4881
I 5.5201 4.7781 2.5237
I 5.4790 6.8827 6.4881
```

***

No. 10
The following is a DFT calculation (PBE) of SiP2PdCl after structural relaxation.

- Calculated density: 4143 kg/m3
- Relative energy among the computed polymorphs: 0 meV per atom
- Formation energy from raw total energies: 656 meV per atom
- Space group: P4/mmm (123)

The structure in extended XYZ format:
```
5
Lattice="4.5623 0.0000 0.0000 0.0000 4.5623 0.0000 0.0000 0.0000 4.4661" Properties=species:S:1:pos:R:3 pbc="T T T"
Si 0.0000 0.0000 0.0000
P 0.0000 2.2811 0.0000
P 2.2811 0.0000 0.0000
Pd 2.2811 2.2811 2.2330
Cl 0.0000 0.0000 2.2330
```

***

No. 11
The following is a DFT calculation (PBE) of Pr3Nd2TmTe6 after structural relaxation.

- Calculated density: 7137 kg/m3
- Formation energy from raw total energies: -1393 meV per atom
- Space group: C2/m (12)

The structure in extended XYZ format:
```
12
Lattice="9.7929 -2.2216 0.0000 9.7929 2.2216 0.0000 -2.0733 0.0000 8.8000" Properties=species:S:1:pos:R:3 pbc="T T T"
Pr 0.0000 0.0000 0.0000
Pr 5.0153 0.0000 5.8482
Pr 12.4972 0.0000 2.9519
Nd 6.1141 0.0000 1.4345
Nd 11.3984 0.0000 7.3656
Tm -1.0366 0.0000 4.4000
Te 1.8995 0.0000 5.1108
Te 3.0664 0.0000 0.7158
Te 8.2487 0.0000 6.4772
Te 9.2638 0.0000 2.3229
Te 14.4461 0.0000 8.0843
Te 15.6130 0.0000 3.6893
```

***

No. 12
The following is a DFT calculation (PBE) of Ag2PPt after structural relaxation.

- Calculated density: 10996 kg/m3
- Total energy: -4.04 eV per atom
- Space group: Cmmm (65)

The structure in extended XYZ format:
```
8
Lattice="2.8610 0.0000 0.0000 0.0000 4.8785 0.0000 0.0000 0.0000 9.5598" Properties=species:S:1:pos:R:3 pbc="T T T"
Ag 0.0000 0.0000 2.3431
Ag 0.0000 0.0000 7.2167
Ag 1.4305 2.4393 2.3431
Ag 1.4305 2.4393 7.2167
P 0.0000 2.4393 0.0000
P 1.4305 0.0000 0.0000
Pt 0.0000 2.4393 4.7799
Pt 1.4305 0.0000 4.7799
```

***

> What is the calculated density in the twelfth record?

10996 kg/m3

***

> What is the calculated density in the sixth record?

3801 kg/m3